(1)
The following is a DFT calculation (PBE-GGA) of crystalline Ba2NaAg3O6 at its relaxed geometry.

a = 4.0630 Å, b = 4.0630 Å, c = 12.7532 Å
α = 90.00°, β = 90.00°, γ = 90.00°
Fractional coordinates of all 12 atoms:
1 O 0.0000 0.0000 0.1570
2 Ba 0.5000 0.5000 0.7880
3 O 0.0000 0.5000 0.3604
4 O 0.5000 0.0000 0.6396
5 Ag 0.0000 0.0000 0.0000
6 O 0.5000 0.0000 0.3604
7 Ba 0.5000 0.5000 0.2120
8 O 0.0000 0.5000 0.6396
9 O 0.0000 0.0000 0.8430
10 Ag 0.0000 0.0000 0.3844
11 Ag 0.0000 0.0000 0.6156
12 Na 0.5000 0.5000 0.5000

Properties
Symmetry ... No. 123
Crystal system ... tetragonal
Formation energy without anion corrections ... -1.0508 eV per atom

=====

(2)
The following is a DFT calculation (PBE-GGA) of crystalline Sm2Ni3Ge4Pd at its relaxed geometry.

a = 4.1824 Å, b = 4.1824 Å, c = 9.7902 Å
α = 90.00°, β = 90.00°, γ = 90.00°
Fractional coordinates of all 10 atoms:
1 Ni 0.5000 0.0000 0.8796
2 Ge 0.0000 0.0000 0.0000
3 Ge 0.5000 0.0000 0.6386
4 Ni 0.0000 0.5000 0.1204
5 Ni 0.0000 0.0000 0.5000
6 Ge 0.0000 0.5000 0.3614
7 Sm 0.5000 0.0000 0.2451
8 Ge 0.5000 0.5000 0.0000
9 Sm 0.0000 0.5000 0.7549
10 Pd 0.5000 0.5000 0.5000

Properties
Formation enthalpy at 0 K ... -0.73 eV/atom
Symmetry ... No. 115
Crystal system ... tetragonal

=====

(3)
The following is a DFT calculation (PBE-GGA) of crystalline Tb2Ho6Tm3Pb at its relaxed geometry.

a = 6.0483 Å, b = 6.0483 Å, c = 11.6220 Å
α = 94.99°, β = 94.99°, γ = 120.03°
Fractional coordinates of all 12 atoms:
1 Ho 0.0830 0.4125 0.2505
2 Tb 0.6660 0.3340 0.0000
3 Tm 0.8328 0.1672 0.5000
4 Pb 0.0000 0.0000 0.0000
5 Ho 0.7539 0.7539 0.2519
6 Ho 0.4125 0.0830 0.2505
7 Tb 0.3340 0.6660 0.0000
8 Tm 0.1672 0.8328 0.5000
9 Ho 0.9170 0.5875 0.7495
10 Ho 0.2461 0.2461 0.7481
11 Ho 0.5875 0.9170 0.7495
12 Tm 0.5000 0.5000 0.5000

Properties
Formation enthalpy at 0 K ... -0.05 eV/atom
Symmetry ... No. 12
Crystal system ... monoclinic

=====

(4)
The following is a DFT calculation (PBE-GGA) of crystalline Ho3CuO6 at its relaxed geometry.

a = 5.4212 Å, b = 7.0230 Å, c = 7.0230 Å
α = 101.94°, β = 90.00°, γ = 90.00°
Fractional coordinates of all 20 atoms:
1 Ho 0.4743 0.9124 0.6901
2 O 0.1692 0.4033 0.9001
3 O 0.6692 0.5967 0.0999
4 Cu 0.9827 0.1533 0.8467
5 O 0.6692 0.9001 0.4033
6 O 0.7371 0.9788 0.0212
7 Ho 0.9743 0.6901 0.9124
8 O 0.6989 0.3262 0.3548
9 Ho 0.4743 0.3099 0.0876
10 O 0.6598 0.2212 0.7788
11 O 0.1692 0.0999 0.5967
12 O 0.2371 0.0212 0.9788
13 Ho 0.4209 0.3968 0.6032
14 O 0.6989 0.6452 0.6738
15 Cu 0.4827 0.8467 0.1533
16 O 0.1598 0.7788 0.2212
17 O 0.1989 0.6738 0.6452
18 Ho 0.9743 0.0876 0.3099
19 O 0.1989 0.3548 0.3262
20 Ho 0.9209 0.6032 0.3968

Properties
Symmetry ... No. 36
Crystal system ... orthorhombic
Formation energy without anion corrections ... -2.7428 eV per atom

=====

(5)
The following is a DFT calculation (PBE-GGA) of crystalline KSnGeAu3 at its relaxed geometry.

a = 7.2734 Å, b = 7.3539 Å, c = 7.3310 Å
α = 59.90°, β = 86.93°, γ = 83.88°
Fractional coordinates of all 12 atoms:
1 Ge 0.7500 0.0350 0.9300
2 K 0.7500 0.7477 0.5045
3 Au 0.4958 0.1937 0.0841
4 Au 0.9958 0.2778 0.9159
5 Sn 0.2500 0.5531 0.8939
6 Sn 0.7500 0.4469 0.1061
7 Ge 0.2500 0.9650 0.0700
8 K 0.2500 0.2523 0.4955
9 Au 0.7500 0.2333 0.5333
10 Au 0.0042 0.7222 0.0841
11 Au 0.2500 0.7667 0.4667
12 Au 0.5042 0.8063 0.9159

Properties
Formation enthalpy at 0 K ... -0.18 eV/atom
Symmetry ... No. 15
Crystal system ... monoclinic

=====

(6)
The following is a DFT calculation (PBE-GGA) of crystalline TlW at its relaxed geometry.

a = 9.8260 Å, b = 9.8260 Å, c = 9.8260 Å
α = 18.97°, β = 18.97°, γ = 18.97°
Fractional coordinates of all 4 atoms:
1 Tl 0.7564 0.7564 0.7564
2 W 0.2377 0.2377 0.2377
3 Tl 0.9936 0.9936 0.9936
4 W 0.5123 0.5123 0.5123

Properties
Formation enthalpy at 0 K ... 0.62 eV/atom
Symmetry ... No. 166
Crystal system ... trigonal

=====

(7)
The following is a DFT calculation (PBE-GGA) of crystalline Ba2Zn2Ir at its relaxed geometry.

a = 4.3462 Å, b = 6.5353 Å, c = 11.6040 Å
α = 81.51°, β = 79.21°, γ = 70.66°
Fractional coordinates of all 10 atoms:
1 Ir 0.5693 0.1729 0.6895
2 Zn 0.6305 0.8810 0.8570
3 Zn 0.3695 0.1190 0.1430
4 Ba 0.7030 0.2202 0.3739
5 Ba 0.2970 0.7798 0.6261
6 Zn 0.9656 0.6634 0.4039
7 Ba 0.0892 0.7033 0.1170
8 Zn 0.0344 0.3366 0.5961
9 Ir 0.4307 0.8271 0.3105
10 Ba 0.9108 0.2967 0.8830

Properties
Formation enthalpy at 0 K ... -0.23 eV/atom
Symmetry ... No. 2
Crystal system ... triclinic

=====

(8)
The following is a DFT calculation (PBE-GGA) of crystalline LiNp2NiS4 at its relaxed geometry.

a = 6.4757 Å, b = 5.7751 Å, c = 5.7751 Å
α = 68.20°, β = 55.90°, γ = 55.90°
Fractional coordinates of all 8 atoms:
1 Li 0.0000 0.0000 0.0000
2 Np 0.2501 0.2499 0.2499
3 Np 0.7499 0.7501 0.7501
4 S 0.7427 0.2574 0.7427
5 Ni 0.5000 0.5000 0.5000
6 S 0.7428 0.7426 0.2573
7 S 0.2572 0.7427 0.2574
8 S 0.2573 0.2573 0.7426

Properties
Symmetry ... No. 139
Crystal system ... tetragonal
Formation energy without anion corrections ... -1.0617 eV per atom

=====

N(E_F) in states/eV per atom, matching the order above: 0.57 0.68 1.25 0.28 0.18 0.22 0.58 2.34
Total DFT energy (no corrections) in eV per cell, matching the order above: -56.078 -57.728 -54.476 -150.014 -41.306 -28.143 -32.785 -58.580